A plane-wave DFT calculation with PBE-GGA was carried out for a relaxed structure of YScF2.

a b c (Å): 5.319 5.319 10.721
angles (deg): 90.00 90.00 90.00
Space group I-42d (No. 122)
Symmetry-distinct sites (fractional):
Y  0.000  0.000  0.000
Sc  0.000  0.000  0.500
F  0.225  0.250  0.625

Output
DOS at the Fermi energy, states/eV/cell: 0.44
Raw formation energy, eV/f.u.: -8.902
VASP energy, eV per cell: -101.76
Size of the total moment, μB per atom: 0.00



A plane-wave DFT calculation with PBE-GGA was carried out for a relaxed structure of SrTa2HgP.

a b c (Å): 5.099 5.099 5.831
angles (deg): 90.00 90.00 90.00
Space group P4/mmm (No. 123)
Symmetry-distinct sites (fractional):
Sr  0.000  0.000  0.000
Ta  0.000  0.500  0.500
Hg  0.000  0.000  0.500
P  0.500  0.500  0.000

Output
DOS at the Fermi energy, states/eV/cell: 4.50
VASP energy, eV per cell: -22.74
Calculated formation energy, meV/atom: 1672
Size of the total moment, μB per atom: 0.46



A plane-wave DFT calculation with PBE-GGA was carried out for a relaxed structure of FeNiIr2.

a b c (Å): 5.303 8.771 2.655
angles (deg): 90.00 118.60 90.00
Space group C2/m (No. 12)
Symmetry-distinct sites (fractional):
Fe  0.000  0.000  0.000
Ni  0.000  0.500  0.000
Ir  0.250  0.250  0.500

Output
DOS at the Fermi energy, states/eV/cell: 10.47
VASP energy, eV per cell: -62.80
Calculated formation energy, meV/atom: 142
Size of the total moment, μB per atom: 1.02



A plane-wave DFT calculation with PBE-GGA was carried out for a relaxed structure of Cr2IrAu.

a b c (Å): 2.7242 2.7242 26.4079
angles (deg): 90.00 90.00 120.00
Space group R-3m (No. 166, hexagonal axes)
Symmetry-distinct sites (fractional):
Cr  0.0000  0.0000  0.2457
Ir  0.0000  0.0000  0.5000
Au  0.0000  0.0000  0.0000

Output
DOS at the Fermi energy, states/eV/cell: 10.89
VASP energy, eV per cell: -91.07
Calculated formation energy, meV/atom: 257
Size of the total moment, μB per atom: 0.01